The following is a PBE calculation of Sr2CeInAu6 after structural relaxation, from the Alexandria database.

Cell and atoms, written as POSCAR:
```
Sr2CeInAu6
1.0
-0.1418 -6.7947 -3.6131
7.6507 0.2650 -0.7988
4.3411 -5.8147 2.5664
Au Ce Sr In
6 1 2 1
direct
0.7546 0.7546 0.4907
0.2454 0.2454 0.5093
0.7546 0.7546 0.0000
0.2454 0.2454 0.0000
0.2454 0.7546 0.0000
0.7546 0.2454 0.0000
0.5000 0.5000 0.0000
0.2500 0.7500 0.5000
0.7500 0.2500 0.5000
0.0000 0.0000 0.0000
```

## Properties
**M_tot**: 0.07 μB per atom
**DFT total energy**: -3.35 eV/atom
**ΔE_f**: -0.183 eV per atom
**Theoretical density**: 8.30 Mg/m³